# 1
# TlCd2Ni (PBE-GGA, relaxed)
data_TlCd2Ni
_chemical_formula_sum 'Tl2 Cd4 Ni2'
_cell_length_a 5.8019
_cell_length_b 8.4832
_cell_length_c 3.3100
_cell_angle_alpha 90.00
_cell_angle_beta 90.00
_cell_angle_gamma 90.00
_symmetry_space_group_name_H-M 'C m m m'
_symmetry_Int_Tables_number 65
_symmetry_space_group_name_Hall '-C 2 2'
loop_
_atom_site_label
_atom_site_type_symbol
_atom_site_fract_x
_atom_site_fract_y
_atom_site_fract_z
Tl1 Tl 0.0000 0.0000 0.0000
Cd1 Cd 0.2500 0.2500 0.5000
Ni1 Ni 0.0000 0.5000 0.0000
# Formation energy   0.276 eV per atom
# VASP energy   -17.748 eV/cell
# Size of the total moment   0.00 μB/f.u.
# Distance to the lowest polymorph of the same formula   190 meV per atom



# 2
# CaIrOs2 (PBE-GGA, relaxed)
data_CaIrOs2
_chemical_formula_sum 'Ca2 Ir2 Os4'
_cell_length_a 5.6437
_cell_length_b 8.3889
_cell_length_c 2.7130
_cell_angle_alpha 90.00
_cell_angle_beta 90.00
_cell_angle_gamma 90.00
_symmetry_space_group_name_H-M 'C m m m'
_symmetry_Int_Tables_number 65
_symmetry_space_group_name_Hall '-C 2 2'
loop_
_atom_site_label
_atom_site_type_symbol
_atom_site_fract_x
_atom_site_fract_y
_atom_site_fract_z
Ca1 Ca 0.0000 0.0000 0.0000
Ir1 Ir 0.0000 0.5000 0.0000
Os1 Os 0.2500 0.2500 0.5000
# Formation energy   0.508 eV per atom
# VASP energy   -62.578 eV/cell
# Size of the total moment   0.00 μB/f.u.
# Distance to the lowest polymorph of the same formula   289 meV per atom



# 3
# KRe3Si (PBE-GGA, relaxed)
data_KRe3Si
_chemical_formula_sum 'K1 Re3 Si1'
_cell_length_a 4.5944
_cell_length_b 4.5944
_cell_length_c 4.5944
_cell_angle_alpha 90.00
_cell_angle_beta 90.00
_cell_angle_gamma 90.00
_symmetry_space_group_name_H-M 'P m -3 m'
_symmetry_Int_Tables_number 221
_symmetry_space_group_name_Hall '-P 4 2 3'
loop_
_atom_site_label
_atom_site_type_symbol
_atom_site_fract_x
_atom_site_fract_y
_atom_site_fract_z
K1 K 0.0000 0.0000 0.0000
Re1 Re 0.0000 0.5000 0.5000
Si1 Si 0.5000 0.5000 0.5000
# Uncorrected formation energy   1727 meV/atom
# VASP energy   -35.228 eV/cell
# Size of the total moment   0.00 μB/f.u.
# Distance to the lowest polymorph of the same formula   0 meV per atom



# 4
# CaLaInAg (PBE-GGA, relaxed)
data_CaLaInAg
_chemical_formula_sum 'Ca4 La4 In4 Ag4'
_cell_length_a 7.6935
_cell_length_b 7.6935
_cell_length_c 7.6935
_cell_angle_alpha 90.00
_cell_angle_beta 90.00
_cell_angle_gamma 90.00
_symmetry_space_group_name_H-M 'F -4 3 m'
_symmetry_Int_Tables_number 216
_symmetry_space_group_name_Hall 'F -4 2 3'
loop_
_atom_site_label
_atom_site_type_symbol
_atom_site_fract_x
_atom_site_fract_y
_atom_site_fract_z
Ca1 Ca 0.0000 0.0000 0.0000
La1 La 0.0000 0.0000 0.5000
In1 In 0.2500 0.2500 0.7500
Ag1 Ag 0.2500 0.2500 0.2500
# Formation energy   -0.416 eV per atom
# VASP energy   -56.737 eV/cell
# Size of the total moment   0.00 μB/f.u.



# 5
# Pr8GePt3Br4 (PBE-GGA, relaxed)
data_Pr8GePt3Br4
_chemical_formula_sum 'Pr24 Ge3 Pt9 Br12'
_cell_length_a 8.5911
_cell_length_b 8.5911
_cell_length_c 22.9307
_cell_angle_alpha 90.00
_cell_angle_beta 90.00
_cell_angle_gamma 120.00
_symmetry_space_group_name_H-M 'R -3 m'
_symmetry_Int_Tables_number 166
_symmetry_space_group_name_Hall '-R 3 2"'
loop_
_atom_site_label
_atom_site_type_symbol
_atom_site_fract_x
_atom_site_fract_y
_atom_site_fract_z
Pr1 Pr 0.0000 0.0000 0.2329
Pr2 Pr 0.0066 0.5033 0.7648
Ge1 Ge 0.0000 0.0000 0.5000
Pt1 Pt 0.0000 0.5000 0.5000
Br1 Br 0.0000 0.0000 0.0000
Br2 Br 0.0000 0.5000 0.0000
# Uncorrected formation energy   -1178 meV/atom
# VASP energy   -259.533 eV/cell
# Size of the total moment   0.00 μB/f.u.



# 6
# Rb2Hg5Pt (PBE-GGA, relaxed)
data_Rb2Hg5Pt
_chemical_formula_sum 'Rb4 Hg10 Pt2'
_cell_length_a 6.9884
_cell_length_b 6.9884
_cell_length_c 11.5324
_cell_angle_alpha 90.00
_cell_angle_beta 90.00
_cell_angle_gamma 90.00
_symmetry_space_group_name_H-M 'I 4 m m'
_symmetry_Int_Tables_number 107
_symmetry_space_group_name_Hall 'I 4 -2'
loop_
_atom_site_label
_atom_site_type_symbol
_atom_site_fract_x
_atom_site_fract_y
_atom_site_fract_z
Rb1 Rb 0.0000 0.5000 0.0000
Hg1 Hg 0.0000 0.0000 0.3898
Hg2 Hg 0.2445 0.2445 0.7453
Pt1 Pt 0.0000 0.0000 0.6275
# Formation energy   -0.192 eV per atom
# VASP energy   -22.039 eV/cell
# Size of the total moment   0.00 μB/f.u.



# 7
# Y2BeZnRh2 (PBE-GGA, relaxed)
data_Y2BeZnRh2
_chemical_formula_sum 'Y8 Be4 Zn4 Rh8'
_cell_length_a 5.7980
_cell_length_b 13.4717
_cell_length_c 5.6344
_cell_angle_alpha 90.00
_cell_angle_beta 90.00
_cell_angle_gamma 90.00
_symmetry_space_group_name_H-M 'I b a m'
_symmetry_Int_Tables_number 72
_symmetry_space_group_name_Hall '-I 2 2c'
loop_
_atom_site_label
_atom_site_type_symbol
_atom_site_fract_x
_atom_site_fract_y
_atom_site_fract_z
Y1 Y 0.2294 0.1687 0.0000
Be1 Be 0.0000 0.5000 0.2500
Zn1 Zn 0.0000 0.0000 0.2500
Rh1 Rh 0.2045 0.3920 0.0000
# Formation energy   -0.622 eV per atom
# VASP energy   -145.452 eV/cell
# Size of the total moment   0.00 μB/f.u.



# 8
# NaMgF3 (PBE-GGA, relaxed)
data_NaMgF3
_chemical_formula_sum 'Na1 Mg1 F3'
_cell_length_a 3.9486
_cell_length_b 3.9486
_cell_length_c 3.9486
_cell_angle_alpha 90.00
_cell_angle_beta 90.00
_cell_angle_gamma 90.00
_symmetry_space_group_name_H-M 'P m -3 m'
_symmetry_Int_Tables_number 221
_symmetry_space_group_name_Hall '-P 4 2 3'
loop_
_atom_site_label
_atom_site_type_symbol
_atom_site_fract_x
_atom_site_fract_y
_atom_site_fract_z
Na1 Na 0.0000 0.0000 0.0000
Mg1 Mg 0.5000 0.5000 0.5000
F1 F 0.0000 0.5000 0.5000
# Uncorrected formation energy   -3207 meV/atom
# VASP energy   -24.561 eV/cell
# Size of the total moment   0.00 μB/f.u.